VASP calculation (PBE) on a relaxed Dy12Ir3C5 crystal.

M_tot: 0.00 Bohr magnetons per cell
Fermi-level density of states: 44.6 states/eV per cell
Space group: No. 230
Final energy: -6.71 eV per atom

Geometry as POSCAR:
```
Dy12Ir3C5
1.0
13.309 0.000 0.000
-4.436 12.548 0.000
-4.436 -6.274 10.867
Dy Ir C
48 12 20
Direct
0.083 0.179 0.208
0.405 0.376 0.583
0.821 0.917 0.292
0.708 0.583 0.179
0.583 0.876 0.405
0.876 0.292 0.471
0.792 0.471 0.376
0.624 0.029 0.208
0.292 0.417 0.821
0.529 0.208 0.124
0.208 0.679 0.083
0.595 0.971 0.679
0.917 0.095 0.624
0.471 0.679 0.095
0.679 0.471 0.595
0.208 0.529 0.624
0.905 0.821 0.529
0.124 0.708 0.529
0.417 0.292 0.321
0.417 0.124 0.595
0.583 0.708 0.679
0.179 0.083 0.708
0.529 0.321 0.905
0.376 0.971 0.792
0.624 0.595 0.917
0.083 0.905 0.376
0.029 0.624 0.708
0.595 0.624 0.417
0.821 0.905 0.029
0.679 0.208 0.583
0.792 0.321 0.917
0.292 0.876 0.971
0.179 0.095 0.971
0.376 0.405 0.083
0.124 0.417 0.095
0.905 0.083 0.876
0.708 0.124 0.029
0.971 0.376 0.292
0.321 0.529 0.405
0.405 0.029 0.321
0.095 0.179 0.471
0.917 0.821 0.792
0.876 0.583 0.905
0.321 0.792 0.417
0.095 0.917 0.124
0.971 0.595 0.179
0.029 0.405 0.821
0.471 0.792 0.876
0.375 0.750 0.625
0.625 0.250 0.375
0.875 0.750 0.125
0.125 0.250 0.875
0.625 0.375 0.750
0.250 0.625 0.875
0.250 0.125 0.375
0.750 0.375 0.125
0.375 0.625 0.250
0.875 0.125 0.250
0.125 0.875 0.750
0.750 0.875 0.625
0.625 0.875 0.250
0.000 0.000 0.000
0.875 0.625 0.750
0.875 0.250 0.625
0.625 0.750 0.875
0.500 0.000 0.500
0.500 0.500 0.500
0.750 0.125 0.875
0.375 0.250 0.125
0.000 0.500 0.500
0.000 0.000 0.500
0.125 0.750 0.375
0.125 0.375 0.250
0.250 0.875 0.125
0.500 0.500 0.000
0.375 0.125 0.750
0.250 0.375 0.625
0.750 0.625 0.375
0.500 0.000 0.000
0.000 0.500 0.000
```


VASP calculation (PBE) on a relaxed LaNdSbTe crystal.

M_tot: 0.53 Bohr magnetons per cell
Fermi-level density of states: 3.1 states/eV per cell
Space group: No. 216
Uncorrected formation energy: -4.73 eV/f.u.

Geometry as POSCAR:
```
LaNdSbTe
1.0
5.550 0.000 0.000
2.775 4.807 0.000
2.775 1.602 4.534
Nd Sb La Te
1 1 1 1
Direct
0.444 0.444 0.668
0.694 0.694 0.918
0.944 0.944 0.168
0.194 0.194 0.418
```


VASP calculation (PBE) on a relaxed Pu3Ga4Pt7 crystal.

M_tot: 15.72 Bohr magnetons per cell
Fermi-level density of states: 41.0 states/eV per cell
Space group: No. 12
Final energy: -7.73 eV per atom

Geometry as POSCAR:
```
Pu3Ga4Pt7
1.0
4.098 0.000 1.034
1.485 7.771 2.753
0.085 0.151 8.303
Pt Ga Pu
7 4 3
Direct
0.315 0.799 0.571
0.125 0.643 0.107
0.487 0.798 0.228
0.000 0.000 0.000
0.875 0.357 0.893
0.685 0.201 0.429
0.513 0.202 0.772
0.320 0.531 0.830
0.868 0.905 0.359
0.132 0.095 0.641
0.680 0.469 0.170
0.000 0.500 0.500
0.322 0.187 0.169
0.678 0.813 0.831
```


VASP calculation (PBE) on a relaxed Dy6InPd2 crystal.

M_tot: 0.00 Bohr magnetons per cell
Fermi-level density of states: 17.7 states/eV per cell
Space group: No. 71
Final energy: -5.07 eV per atom

Geometry as POSCAR:
```
Dy6InPd2
1.0
-4.779 0.714 7.087
-2.403 -6.520 -5.029
8.162 -1.660 2.050
Dy Pd In
12 4 2
Direct
0.801 0.237 0.038
0.894 0.710 0.183
0.199 0.763 0.962
0.199 0.237 0.436
0.106 0.290 0.817
0.473 0.290 0.183
0.300 0.627 0.327
0.300 0.974 0.673
0.527 0.710 0.817
0.801 0.763 0.564
0.700 0.373 0.673
0.700 0.026 0.327
0.345 0.000 0.345
0.500 0.633 0.133
0.500 0.367 0.867
0.655 0.000 0.655
0.000 0.500 0.500
0.000 0.000 0.000
```


VASP calculation (PBE) on a relaxed Pr2NdDy6 crystal.

M_tot: 0.00 Bohr magnetons per cell
Fermi-level density of states: 12.2 states/eV per cell
Space group: No. 160
E above lowest polymorph: 221 meV/atom

Geometry as POSCAR:
```
Pr2NdDy6
1.0
-3.242 5.436 3.974
-7.168 -0.617 2.023
-1.703 -1.275 7.381
Dy Pr Nd
6 2 1
Direct
0.049 0.617 0.286
0.785 0.258 0.698
0.049 0.049 0.286
0.259 0.785 0.698
0.258 0.259 0.698
0.617 0.049 0.286
0.754 0.754 0.737
0.579 0.579 0.263
0.316 0.316 0.053
```


VASP calculation (PBE) on a relaxed CaHfTe2N crystal.

M_tot: 0.00 Bohr magnetons per cell
Fermi-level density of states: 4.9 states/eV per cell
Space group: No. 123
Uncorrected formation energy: 3.74 eV/f.u.
E above lowest polymorph: 1427 meV/atom

Geometry as POSCAR:
```
CaHfTe2N
1.0
5.699 0.000 0.000
0.000 5.699 0.000
0.000 0.000 4.013
Hf Ca Te N
1 1 2 1
Direct
0.500 0.500 0.500
0.000 0.000 0.000
0.000 0.500 0.000
0.500 0.000 0.000
0.000 0.000 0.500
```